Record 1
{
  "formula": "NaTmSn2",
  "functional": "GGA-PBE",
  "state": "optimized geometry",
  "dos_ef_per_ev_cell": 1.47,
  "crystal_system": "tetragonal",
  "magnetic_moment_mub_per_fu": 0.0,
  "lattice_angstrom": [[4.7494, 0.0000, 0.0000], [0.0000, 4.7494, 0.0000], [0.0000, 0.0000, 4.4712]],
  "species": ["Na", "Tm", "Sn", "Sn"],
  "frac_coords": [[0.0000, 0.0000, 0.0000], [0.5000, 0.5000, 0.0000], [0.0000, 0.5000, 0.5000], [0.5000, 0.0000, 0.5000]]
}

***

Record 2
{
  "formula": "NaU2Sn9",
  "functional": "GGA-PBE",
  "state": "optimized geometry",
  "dos_ef_per_ev_cell": 17.49,
  "crystal_system": "tetragonal",
  "magnetic_moment_mub_per_fu": 4.9,
  "lattice_angstrom": [[4.6422, 0.0000, 0.0000], [0.0000, 4.6422, 0.0000], [0.0000, 0.0000, 14.1846]],
  "species": ["Na", "U", "U", "Sn", "Sn", "Sn", "Sn", "Sn", "Sn", "Sn", "Sn", "Sn"],
  "frac_coords": [[0.0000, 0.0000, 0.0000], [0.0000, 0.0000, 0.3406], [0.0000, 0.0000, 0.6594], [0.0000, 0.5000, 0.1690], [0.0000, 0.5000, 0.5000], [0.0000, 0.5000, 0.8310], [0.5000, 0.0000, 0.1690], [0.5000, 0.0000, 0.5000], [0.5000, 0.0000, 0.8310], [0.5000, 0.5000, 0.0000], [0.5000, 0.5000, 0.3342], [0.5000, 0.5000, 0.6658]]
}

***

Record 3
{
  "formula": "NaUSn",
  "functional": "GGA-PBE",
  "state": "optimized geometry",
  "dos_ef_per_ev_cell": 9.57,
  "crystal_system": "monoclinic",
  "magnetic_moment_mub_per_fu": 2.3,
  "lattice_angstrom": [[4.8791, -2.9117, 0.0000], [4.8791, 2.9117, 0.0000], [-0.4177, 0.0000, 5.4898]],
  "species": ["Na", "Na", "U", "U", "Sn", "Sn"],
  "frac_coords": [[0.0851, 0.0851, 0.2507], [0.9149, 0.9149, 0.7493], [0.4264, 0.4264, 0.3042], [0.5736, 0.5736, 0.6958], [0.2546, 0.2546, 0.7701], [0.7454, 0.7454, 0.2299]]
}

***

Record 4
{
  "formula": "NaUSn6",
  "functional": "GGA-PBE",
  "state": "optimized geometry",
  "dos_ef_per_ev_cell": 9.09,
  "crystal_system": "tetragonal",
  "magnetic_moment_mub_per_fu": 2.7,
  "lattice_angstrom": [[4.6714, 0.0000, 0.0000], [0.0000, 4.6714, 0.0000], [0.0000, 0.0000, 9.4479]],
  "species": ["Na", "U", "Sn", "Sn", "Sn", "Sn", "Sn", "Sn"],
  "frac_coords": [[0.0000, 0.0000, 0.0000], [0.0000, 0.0000, 0.5000], [0.0000, 0.5000, 0.2505], [0.0000, 0.5000, 0.7495], [0.5000, 0.0000, 0.2505], [0.5000, 0.0000, 0.7495], [0.5000, 0.5000, 0.0000], [0.5000, 0.5000, 0.5000]]
}

***

Record 5
{
  "formula": "NaVSn2",
  "functional": "GGA-PBE",
  "state": "optimized geometry",
  "dos_ef_per_ev_cell": 10.19,
  "crystal_system": "tetragonal",
  "magnetic_moment_mub_per_fu": 2.3,
  "lattice_angstrom": [[-2.4390, 2.4390, 9.4130], [2.4390, -2.4390, 9.4130], [2.4390, 2.4390, -9.4130]],
  "species": ["Na", "Na", "V", "V", "Sn", "Sn", "Sn", "Sn"],
  "frac_coords": [[0.0000, 0.0000, 0.0000], [0.7500, 0.2500, 0.5000], [0.2500, 0.7500, 0.5000], [0.5000, 0.5000, 0.0000], [0.1954, 0.6250, 0.0704], [0.3750, 0.4454, 0.5704], [0.5546, 0.1250, 0.9296], [0.8750, 0.8046, 0.4296]]
}

***

Record 6
{
  "formula": "NaV3Sn",
  "functional": "GGA-PBE",
  "state": "optimized geometry",
  "dos_ef_per_ev_cell": 2.69,
  "crystal_system": "cubic",
  "magnetic_moment_mub_per_fu": 0.0,
  "lattice_angstrom": [[4.4749, 0.0000, 0.0000], [0.0000, 4.4749, 0.0000], [0.0000, 0.0000, 4.4749]],
  "species": ["Na", "V", "V", "V", "Sn"],
  "frac_coords": [[0.0000, 0.0000, 0.0000], [0.0000, 0.0000, 0.5000], [0.0000, 0.5000, 0.0000], [0.5000, 0.0000, 0.0000], [0.5000, 0.5000, 0.5000]]
}

***

Record 7
{
  "formula": "Na2VSn2",
  "functional": "GGA-PBE",
  "state": "optimized geometry",
  "dos_ef_per_ev_cell": 10.89,
  "crystal_system": "tetragonal",
  "magnetic_moment_mub_per_fu": 3.0,
  "lattice_angstrom": [[8.7219, 0.0000, 0.0000], [0.0000, 8.7219, 0.0000], [0.0000, 0.0000, 3.2210]],
  "species": ["Na", "Na", "Na", "Na", "V", "V", "Sn", "Sn", "Sn", "Sn"],
  "frac_coords": [[0.1152, 0.3848, 0.0000], [0.3848, 0.8848, 0.0000], [0.6152, 0.1152, 0.0000], [0.8848, 0.6152, 0.0000], [0.0000, 0.0000, 0.0000], [0.5000, 0.5000, 0.0000], [0.1845, 0.6845, 0.5000], [0.3155, 0.1845, 0.5000], [0.6845, 0.8155, 0.5000], [0.8155, 0.3155, 0.5000]]
}

***

Record 8
{
  "formula": "NaVSn",
  "functional": "GGA-PBE",
  "state": "optimized geometry",
  "dos_ef_per_ev_cell": 3.41,
  "crystal_system": "triclinic",
  "magnetic_moment_mub_per_fu": 0.0,
  "lattice_angstrom": [[3.2239, 0.0000, 0.0000], [-1.6045, 4.6920, 0.0000], [-0.0201, -1.3974, 8.6078]],
  "species": ["Na", "Na", "V", "V", "Sn", "Sn"],
  "frac_coords": [[0.1506, 0.3053, 0.1089], [0.8494, 0.6947, 0.8911], [0.3477, 0.6873, 0.5585], [0.6523, 0.3127, 0.4415], [0.0917, 0.1825, 0.6914], [0.9083, 0.8175, 0.3086]]
}

***

Record 9
{
  "formula": "Na2VSn4",
  "functional": "GGA-PBE",
  "state": "optimized geometry",
  "dos_ef_per_ev_cell": 2.60,
  "crystal_system": "tetragonal",
  "magnetic_moment_mub_per_fu": 0.0,
  "lattice_angstrom": [[-2.5807, 2.5807, 7.7747], [2.5807, -2.5807, 7.7747], [2.5807, 2.5807, -7.7747]],
  "species": ["Na", "Na", "V", "Sn", "Sn", "Sn", "Sn"],
  "frac_coords": [[0.1372, 0.1372, 0.0000], [0.8628, 0.8628, 0.0000], [0.5000, 0.5000, 0.0000], [0.0000, 0.5000, 0.5000], [0.3317, 0.3317, 0.0000], [0.5000, 0.0000, 0.5000], [0.6683, 0.6683, 0.0000]]
}

***

Record 10
{
  "formula": "NaVSn2",
  "functional": "GGA-PBE",
  "state": "optimized geometry",
  "dos_ef_per_ev_cell": 2.95,
  "crystal_system": "trigonal",
  "magnetic_moment_mub_per_fu": 0.3,
  "lattice_angstrom": [[1.6125, 0.9310, 10.3866], [-1.6125, 0.9310, 10.3866], [0.0000, -1.8620, 10.3866]],
  "species": ["Na", "V", "Sn", "Sn"],
  "frac_coords": [[0.0000, 0.0000, 0.0000], [0.5000, 0.5000, 0.5000], [0.0970, 0.0970, 0.0970], [0.9030, 0.9030, 0.9030]]
}

***

Record 11
{
  "formula": "NaV3Sn",
  "functional": "GGA-PBE",
  "state": "optimized geometry",
  "dos_ef_per_ev_cell": 11.15,
  "crystal_system": "cubic",
  "magnetic_moment_mub_per_fu": 10.2,
  "lattice_angstrom": [[5.2204, 0.0000, 0.0000], [0.0000, 5.2204, 0.0000], [0.0000, 0.0000, 5.2204]],
  "species": ["Na", "V", "V", "V", "Sn"],
  "frac_coords": [[0.0000, 0.0000, 0.0000], [0.0000, 0.5000, 0.5000], [0.5000, 0.0000, 0.5000], [0.5000, 0.5000, 0.0000], [0.5000, 0.5000, 0.5000]]
}

***

Record 12
{
  "formula": "NaVSn2",
  "functional": "GGA-PBE",
  "state": "optimized geometry",
  "dos_ef_per_ev_cell": 2.38,
  "crystal_system": "tetragonal",
  "magnetic_moment_mub_per_fu": 0.3,
  "lattice_angstrom": [[3.0673, 0.0000, 0.0000], [0.0000, 3.0673, 0.0000], [0.0000, 0.0000, 9.1867]],
  "species": ["Na", "V", "Sn", "Sn"],
  "frac_coords": [[0.0000, 0.0000, 0.0000], [0.0000, 0.0000, 0.5000], [0.5000, 0.5000, 0.2843], [0.5000, 0.5000, 0.7157]]
}

***

Computed values of energy of formation from the pure elements (unit: eV/f.u.) for the preceding records, in sequence: -1.6; -1.3; 0.8; -0.7; 1.8; 9.0; 2.2; 0.2; 0.6; 0.8; 6.8; 0.1.